1.
# RbTi4Te8 GGA-PBE optimized geometry
# Formation energy from raw total energies   -0.5146 eV per atom
# Calculated total energy   -64.37 eV/f.u.
# Offset from the most stable computed form   0.211 eV per atom
# Fermi-level density of states   0.8049 states/eV per atom
data_RbTi4Te8
_cell_length_a 11.996
_cell_length_b 11.996
_cell_length_c 11.996
_cell_angle_alpha 90.00
_cell_angle_beta 90.00
_cell_angle_gamma 90.00
_space_group_name_H-M_alt 'F -4 3 m'
_space_group_IT_number 216
_space_group_name_Hall 'F -4 2 3'
loop_
_atom_site_label
_atom_site_fract_x
_atom_site_fract_y
_atom_site_fract_z
Rb1 0.000 0.000 0.000
Ti1 0.116 0.116 0.384
Te1 0.119 0.119 0.619
Te2 0.149 0.149 0.149


2.
# Cu3SbAs GGA-PBE optimized geometry
# Formation energy from raw total energies   0.8778 eV per atom
# Calculated total energy   -16.67 eV/f.u.
# Offset from the most stable computed form   0.421 eV per atom
# Fermi-level density of states   0.9405 states/eV per atom
data_Cu3SbAs
_cell_length_a 4.826
_cell_length_b 4.826
_cell_length_c 4.826
_cell_angle_alpha 90.00
_cell_angle_beta 90.00
_cell_angle_gamma 90.00
_space_group_name_H-M_alt 'P m -3 m'
_space_group_IT_number 221
_space_group_name_Hall '-P 4 2 3'
loop_
_atom_site_label
_atom_site_fract_x
_atom_site_fract_y
_atom_site_fract_z
Cu1 0.000 0.000 0.500
Sb1 0.000 0.000 0.000
As1 0.500 0.500 0.500


3.
# NbCrW GGA-PBE optimized geometry
# Calculated total energy   -32.55 eV/f.u.
# Energy of formation from the pure elements   0.031 eV per atom
# Offset from the most stable computed form   0.009 eV per atom
# Fermi-level density of states   0.9621 states/eV per atom
data_NbCrW
_cell_length_a 5.039
_cell_length_b 5.261
_cell_length_c 7.185
_cell_angle_alpha 90.00
_cell_angle_beta 90.00
_cell_angle_gamma 90.00
_space_group_name_H-M_alt 'I m m a'
_space_group_IT_number 74
_space_group_name_Hall '-I 2b 2'
loop_
_atom_site_label
_atom_site_fract_x
_atom_site_fract_y
_atom_site_fract_z
Nb1 0.000 0.250 0.123
Cr1 0.250 0.250 0.750
W1 0.000 0.000 0.500


4.
# CeLu2Ir GGA-PBE optimized geometry
# Calculated total energy   -25.70 eV/f.u.
# Energy of formation from the pure elements   -0.466 eV per atom
# Offset from the most stable computed form   0.000 eV per atom
# Fermi-level density of states   1.6145 states/eV per atom
data_CeLu2Ir
_cell_length_a 3.377
_cell_length_b 3.377
_cell_length_c 8.693
_cell_angle_alpha 90.00
_cell_angle_beta 90.00
_cell_angle_gamma 90.00
_space_group_name_H-M_alt 'P 4/m m m'
_space_group_IT_number 123
_space_group_name_Hall '-P 4 2'
loop_
_atom_site_label
_atom_site_fract_x
_atom_site_fract_y
_atom_site_fract_z
Ce1 0.000 0.000 0.000
Lu1 0.500 0.500 0.312
Ir1 0.000 0.000 0.500


5.
# LuThSnHg GGA-PBE optimized geometry
# Calculated total energy   -17.79 eV/f.u.
# Energy of formation from the pure elements   -0.386 eV per atom
# Fermi-level density of states   0.9911 states/eV per atom
data_LuThSnHg
_cell_length_a 7.556
_cell_length_b 7.556
_cell_length_c 7.556
_cell_angle_alpha 90.00
_cell_angle_beta 90.00
_cell_angle_gamma 90.00
_space_group_name_H-M_alt 'F -4 3 m'
_space_group_IT_number 216
_space_group_name_Hall 'F -4 2 3'
loop_
_atom_site_label
_atom_site_fract_x
_atom_site_fract_y
_atom_site_fract_z
Lu1 0.000 0.000 0.000
Th1 0.000 0.000 0.500
Sn1 0.250 0.250 0.250
Hg1 0.250 0.250 0.750


6.
# GdHoGaCu GGA-PBE optimized geometry
# Calculated total energy   -27.43 eV/f.u.
# Energy of formation from the pure elements   -0.411 eV per atom
# Fermi-level density of states   0.7742 states/eV per atom
data_GdHoGaCu
_cell_length_a 7.094
_cell_length_b 7.094
_cell_length_c 7.094
_cell_angle_alpha 90.00
_cell_angle_beta 90.00
_cell_angle_gamma 90.00
_space_group_name_H-M_alt 'F -4 3 m'
_space_group_IT_number 216
_space_group_name_Hall 'F -4 2 3'
loop_
_atom_site_label
_atom_site_fract_x
_atom_site_fract_y
_atom_site_fract_z
Gd1 0.000 0.000 0.000
Ho1 0.000 0.000 0.500
Ga1 0.250 0.250 0.750
Cu1 0.250 0.250 0.250